Entry 1:
A geometry-optimized CdCuSn2 structure. Source: the Alexandria database, functional PBE-GGA.

Properties
* uncorrected energy: -3.12 eV/atom

a b c (Å): 3.2413 3.2413 31.0433
angles (deg): 90.00 90.00 120.00
Space group R-3m (No. 166, hexagonal axes)
Symmetry-distinct sites (fractional):
Cd 0.0000 0.0000 0.0000 [3 per cell]
Cu 0.0000 0.0000 0.5000 [3 per cell]
Sn 0.0000 0.0000 0.0993 [6 per cell]

***

Entry 2:
A geometry-optimized AcGaAu2 structure. Source: the Alexandria database, functional PBE-GGA.

Properties
* uncorrected energy: -3.88 eV/atom

a b c (Å): 3.783 3.783 6.802
angles (deg): 90.00 90.00 90.00
Space group P4/mmm (No. 123)
Symmetry-distinct sites (fractional):
Ac 0.000 0.000 0.000 [1 per cell]
Ga 0.000 0.000 0.500 [1 per cell]
Au 0.500 0.500 0.284 [2 per cell]

***

Entry 3:
A geometry-optimized CuNiRh2 structure. Source: the Alexandria database, functional PBE-GGA.

Properties
* uncorrected energy: -6.05 eV/atom

a b c (Å): 2.666 3.635 5.369
angles (deg): 90.00 90.00 90.00
Space group Pmmm (No. 47)
Symmetry-distinct sites (fractional):
Cu 0.000 0.000 0.000 [1 per cell]
Ni 0.000 0.000 0.500 [1 per cell]
Rh 0.500 0.500 0.254 [2 per cell]

***

Entry 4:
A geometry-optimized Zr2ScW structure. Source: the Alexandria database, functional PBE-GGA.

Properties
* offset from the most stable computed form: 0.040 eV per atom

a b c (Å): 3.035 4.769 5.901
angles (deg): 90.00 103.98 90.00
Space group Pm (No. 6)
Symmetry-distinct sites (fractional):
Zr 0.000 0.000 0.000 [1 per cell]
Zr 0.331 0.500 0.738 [1 per cell]
Sc 0.684 0.500 0.273 [1 per cell]
W 0.479 0.000 0.510 [1 per cell]

***

Entry 5:
A geometry-optimized Cr2PdAu structure. Source: the Alexandria database, functional PBE-GGA.

Properties
* uncorrected energy: -6.10 eV/atom

a b c (Å): 6.948 6.948 5.159
angles (deg): 90.00 90.00 90.00
Space group I-42d (No. 122)
Symmetry-distinct sites (fractional):
Cr 0.234 0.250 0.125 [8 per cell]
Pd 0.000 0.000 0.000 [4 per cell]
Au 0.000 0.000 0.500 [4 per cell]

***

Entry 6:
A geometry-optimized LiPr2Ir structure. Source: the Alexandria database, functional PBE-GGA.

Properties
* uncorrected energy: -5.25 eV/atom

a b c (Å): 4.1399 4.1399 30.7778
angles (deg): 90.00 90.00 120.00
Space group R-3m (No. 166, hexagonal axes)
Symmetry-distinct sites (fractional):
Li 0.0000 0.0000 0.0000 [3 per cell]
Pr 0.0000 0.0000 0.1167 [6 per cell]
Ir 0.0000 0.0000 0.5000 [3 per cell]

***

Entry 7:
A geometry-optimized CrBr3 structure. Source: the Alexandria database, functional PBE-GGA.

Properties
* ΔE_f (raw): -415 meV per atom

a b c (Å): 5.078 5.078 5.078
angles (deg): 90.00 90.00 90.00
Space group Pm-3m (No. 221)
Symmetry-distinct sites (fractional):
Cr 0.000 0.000 0.000 [1 per cell]
Br 0.000 0.000 0.500 [3 per cell]

***

Entry 8:
A geometry-optimized TlZnCu structure. Source: the Alexandria database, functional PBE-GGA.

Properties
* offset from the most stable computed form: 0.065 eV per atom

a b c (Å): 3.714 3.714 8.122
angles (deg): 90.00 90.00 90.00
Space group I4mm (No. 107)
Symmetry-distinct sites (fractional):
Tl 0.000 0.000 0.000 [2 per cell]
Zn 0.000 0.000 0.333 [2 per cell]
Cu 0.000 0.000 0.664 [2 per cell]

***

Entry 9:
A geometry-optimized WC3N structure. Source: the Alexandria database, functional PBE-GGA.

Properties
* ΔE_f (raw): 2772 meV per atom
* offset from the most stable computed form: 0.000 eV per atom

a b c (Å): 3.443 3.443 3.443
angles (deg): 90.00 90.00 90.00
Space group Pm-3m (No. 221)
Symmetry-distinct sites (fractional):
W 0.000 0.000 0.000 [1 per cell]
C 0.000 0.500 0.500 [3 per cell]
N 0.500 0.500 0.500 [1 per cell]

***

Entry 10:
A geometry-optimized FeSeBr7 structure. Source: the Alexandria database, functional PBE-GGA.

Properties
* ΔE_f (raw): -296 meV per atom

a b c (Å): 7.600 6.909 13.767
angles (deg): 90.00 103.93 90.00
Space group Pc (No. 7)
Symmetry-distinct sites (fractional):
Fe 0.000 0.008 0.000 [2 per cell]
Se 0.334 0.395 0.155 [2 per cell]
Br 0.001 0.149 0.157 [2 per cell]
Br 0.281 0.109 0.969 [2 per cell]
Br 0.285 0.399 0.784 [2 per cell]
Br 0.529 0.161 0.256 [2 per cell]
Br 0.555 0.425 0.597 [2 per cell]
Br 0.762 0.141 0.876 [2 per cell]
Br 0.973 0.327 0.503 [2 per cell]

***

Entry 11:
A geometry-optimized Pm4Sm3Dy structure. Source: the Alexandria database, functional PBE-GGA.

Properties
* offset from the most stable computed form: 0.000 eV per atom

a b c (Å): 11.695 7.349 6.356
angles (deg): 90.00 90.00 90.00
Space group Pmn2_1 (No. 31)
Symmetry-distinct sites (fractional):
Pm 0.000 0.125 0.000 [2 per cell]
Pm 0.000 0.874 0.498 [2 per cell]
Pm 0.249 0.874 0.831 [4 per cell]
Sm 0.000 0.375 0.499 [2 per cell]
Sm 0.250 0.376 0.831 [4 per cell]
Dy 0.000 0.624 0.998 [2 per cell]

***

Entry 12:
A geometry-optimized In6Bi2Pb3 structure. Source: the Alexandria database, functional PBE-GGA.

Properties
* uncorrected energy: -3.19 eV/atom

a b c (Å): 6.123 7.629 7.731
angles (deg): 107.13 97.02 104.50
Space group P-1 (No. 2)
Symmetry-distinct sites (fractional):
In 0.095 0.364 0.320 [2 per cell]
In 0.280 0.096 0.961 [2 per cell]
In 0.365 0.455 0.775 [2 per cell]
Bi 0.447 0.809 0.586 [2 per cell]
Pb 0.000 0.000 0.500 [1 per cell]
Pb 0.180 0.730 0.130 [2 per cell]